Entry 1:
This record from Alexandria describes LiHg after structural relaxation. The functional is GGA-PBEsol.

Results
- electronic total energy (eV per atom) = -1.45

Lattice parameters (Å, degrees): 3.186 3.186 9.579 80.43 80.43 60.00
Positions (direct):
Hg 0.120 0.120 0.639
Li 0.621 0.621 0.136
Hg 0.880 0.880 0.361
Li 0.379 0.379 0.864

***

Entry 2:
This record from Alexandria describes LiHg2 after structural relaxation. The functional is GGA-PBEsol.

Results
- electronic total energy (eV per atom) = -1.32

Lattice parameters (Å, degrees): 4.010 5.392 6.273 108.43 90.00 111.83
Positions (direct):
Hg 0.513 0.026 0.773
Li 0.166 0.331 0.094
Hg 0.177 0.355 0.607
Li 0.834 0.669 0.906
Hg 0.823 0.645 0.393
Hg 0.487 0.974 0.227

***

Entry 3:
This record from Alexandria describes Li5Hg4 after structural relaxation. The functional is GGA-PBEsol.

Results
- electronic total energy (eV per atom) = -1.69

Lattice parameters (Å, degrees): 4.250 6.508 6.508 83.88 70.94 70.94
Positions (direct):
Li 0.672 0.000 0.656
Hg 0.000 0.313 0.687
Li 0.672 0.656 0.000
Hg 0.000 0.687 0.313
Hg 0.687 0.313 0.313
Li 0.328 0.000 0.344
Li 0.328 0.344 0.000
Li 0.000 0.000 0.000
Hg 0.313 0.687 0.687

***

Entry 4:
This record from Alexandria describes LiHg2 after structural relaxation. The functional is GGA-PBEsol.

Results
- electronic total energy (eV per atom) = -1.28

Lattice parameters (Å, degrees): 3.195 3.195 6.950 90.00 90.00 120.00
Positions (direct):
Hg 0.333 0.667 0.311
Hg 0.667 0.333 0.689
Li 0.000 0.000 0.000

***

Entry 5:
This record from Alexandria describes Li4Hg after structural relaxation. The functional is GGA-PBEsol.

Results
- electronic total energy (eV per atom) = -1.94

Lattice parameters (Å, degrees): 4.158 4.995 4.995 80.02 65.40 65.40
Positions (direct):
Li 0.791 0.604 0.815
Li 0.395 0.815 0.396
Li 0.209 0.396 0.185
Li 0.605 0.185 0.604
Hg 0.000 0.000 0.000

***

Entry 6:
This record from Alexandria describes LiHg3 after structural relaxation. The functional is GGA-PBEsol.

Results
- electronic total energy (eV per atom) = -1.15

Lattice parameters (Å, degrees): 4.882 4.882 4.882 60.00 60.00 60.00
Positions (direct):
Hg 0.250 0.250 0.250
Hg 0.500 0.500 0.500
Hg 0.750 0.750 0.750
Li 0.000 0.000 0.000

***

Entry 7:
This record from Alexandria describes LiHg3 after structural relaxation. The functional is GGA-PBEsol.

Results
- electronic total energy (eV per atom) = -1.17

Lattice parameters (Å, degrees): 4.716 6.307 6.307 120.00 90.00 90.00
Positions (direct):
Hg 0.250 0.828 0.657
Hg 0.750 0.172 0.343
Hg 0.750 0.172 0.828
Li 0.750 0.667 0.333
Li 0.250 0.333 0.667
Hg 0.250 0.828 0.172
Hg 0.750 0.657 0.828
Hg 0.250 0.343 0.172

***

Entry 8:
This record from Alexandria describes LiHg2 after structural relaxation. The functional is GGA-PBEsol.

Results
- electronic total energy (eV per atom) = -1.28

Lattice parameters (Å, degrees): 3.365 4.964 7.443 90.00 103.06 90.00
Positions (direct):
Hg 0.626 0.750 0.253
Li 0.278 0.750 0.556
Hg 0.374 0.250 0.747
Hg 0.065 0.250 0.129
Hg 0.935 0.750 0.871
Li 0.722 0.250 0.444

***

Q: Which of these has the lowest electronic total energy?
A: Li4Hg

***

What did the first record say?
This record from Alexandria describes LiHg after structural relaxation. The functional is GGA-PBEsol.

Results
- electronic total energy (eV per atom) = -1.45

Lattice parameters (Å, degrees): 3.186 3.186 9.579 80.43 80.43 60.00
Positions (direct):
Hg 0.120 0.120 0.639
Li 0.621 0.621 0.136
Hg 0.880 0.880 0.361
Li 0.379 0.379 0.864